The following is a DFT calculation (GGA-PBE) of a relaxed La4AlZn2Ga crystal.

abc: 5.3424 5.3424 9.2553
angles: 73.23 73.23 60.00
Positions (direct):
La (0.3762, 0.3762, 0.8713)
La (0.8739, 0.8739, 0.3783)
La (0.1261, 0.1261, 0.6217)
La (0.6238, 0.6238, 0.1287)
Al (0.0000, 0.0000, 0.0000)
Zn (0.7473, 0.7473, 0.7581)
Zn (0.2527, 0.2527, 0.2419)
Ga (0.5000, 0.5000, 0.5000)

Output
Crystal system: trigonal
Calculated volume (A^3/atom): 27.0
DFT formation energy (eV/atom): -0.3961
DOS(E_F) (states/eV/f.u.): 9.0
Total moment (μB/cell): 0.00